(1)
## NbPbBr4 (PBE)

Data for NbPbBr4 after structural relaxation.

abc: 6.210 8.020 9.085
angles: 73.13 86.93 99.03
Positions (direct):
Pb  0.237  0.984  0.941
Pb  0.763  0.016  0.059
Br  0.969  0.098  0.672
Br  0.104  0.436  0.292
Br  0.896  0.564  0.708
Br  0.692  0.640  0.130
Br  0.529  0.282  0.513
Br  0.471  0.718  0.487
Br  0.031  0.902  0.328
Br  0.308  0.360  0.870
Nb  0.166  0.429  0.572
Nb  0.834  0.571  0.428

Properties
Formation energy (no corrections): -699 meV per atom
Crystal system: triclinic

---

(2)
## La2PrY5Er (PBE)

Data for La2PrY5Er after structural relaxation.

abc: 8.651 8.651 10.078
angles: 115.42 115.42 90.00
Positions (direct):
La  0.381  0.881  0.000
La  0.619  0.119  0.000
La  0.119  0.381  0.000
La  0.881  0.619  0.000
Y  0.071  0.571  0.718
Y  0.500  0.500  0.000
Y  0.571  0.647  0.718
Y  0.929  0.429  0.282
Y  0.853  0.929  0.282
Y  0.647  0.147  0.718
Y  0.147  0.071  0.718
Y  0.000  0.000  0.000
Y  0.429  0.353  0.282
Y  0.353  0.853  0.282
Pr  0.750  0.250  0.500
Pr  0.250  0.750  0.500
Er  0.250  0.250  0.500
Er  0.750  0.750  0.500

Properties
Crystal system: tetragonal
E_form: 237 meV per atom

---

(3)
## Ho2Er3Zr2 (PBE)

Data for Ho2Er3Zr2 after structural relaxation.

abc: 5.156 3.384 11.742
angles: 90.00 77.32 90.00
Positions (direct):
Er  0.844  0.000  0.313
Er  0.000  0.000  0.000
Er  0.156  0.000  0.687
Ho  0.577  0.500  0.847
Ho  0.423  0.500  0.153
Zr  0.279  0.500  0.441
Zr  0.721  0.500  0.559

Properties
Crystal system: orthorhombic
E_form: 46 meV per atom

---

(4)
## NaMg2ScV (PBE)

Data for NaMg2ScV after structural relaxation.

abc: 4.957 5.041 4.957
angles: 90.00 90.00 90.00
Positions (direct):
Sc  0.500  0.500  0.500
Na  0.000  0.000  0.000
Mg  0.500  0.000  0.000
Mg  0.000  0.000  0.500
V  0.000  0.500  0.000

Properties
Crystal system: tetragonal
E_form: 1037 meV per atom

---

The records above give, respectively, total DFT energy (no corrections) values of -4.11; -5.49; -5.66; -2.95 eV per atom.